# CaTlCl2

A geometry-optimized CaTlCl2 structure (PBE-GGA, Alexandria).

Output
Formation energy without anion corrections ... -1.175 eV per atom
Space group ... No. 119
Energy above the most stable polymorph in this dataset ... 442 meV per atom
N(E_F) ... 0.479 states/eV per atom
Magnetic moment ... 0.78 μB per cell

Cell: 6.766 6.766 6.766 Å, 143.17 143.17 53.07°
Last column: magnetic moment on the atom in μB.
Sites, in units of the cell vectors:
Tl 0.500 0.500 0.000  0.11
Cl 0.000 0.000 0.000  0.01
Cl 0.250 0.750 0.500  0.04
Ca 0.750 0.250 0.500  0.12